[1]
This record from Alexandria describes crystalline RbIF2 at its relaxed geometry. The functional is GGA-PBEsol.

Results
- Raw formation energy: -1.8777 eV per atom
- Density: 3.68 g/cm3

Structure (POSCAR):
```
RbIF2
1.0
-2.6232 -1.7768 3.2811
0.6343 -4.3129 1.3418
3.4357 -0.0788 5.8745
F I Rb
2 1 1
Direct
0.8880 0.8880 0.3360 F
0.1120 0.1120 0.6640 F
0.0000 0.0000 0.0000 I
0.5000 0.5000 0.5000 Rb
```

[2]
This record from Alexandria describes crystalline Cs2TaBi at its relaxed geometry. The functional is GGA-PBEsol.

Results
- E_form: 0.96 eV per atom
- Density: 4.13 g/cm3

Structure (POSCAR):
```
Cs2TaBi
1.0
5.4684 0.0000 0.0000
2.7342 9.8208 0.0000
2.7342 0.0000 9.8208
Bi Ta Cs
2 2 4
Direct
0.7500 0.5000 0.5000 Bi
0.0000 0.0000 0.0000 Bi
0.5000 0.0000 0.0000 Ta
0.2500 0.5000 0.5000 Ta
0.7877 0.8373 0.3373 Cs
0.3750 0.6627 0.8373 Cs
0.8750 0.3373 0.1627 Cs
0.9623 0.1627 0.6627 Cs
```

[3]
This record from Alexandria describes crystalline MoIrOs2 at its relaxed geometry. The functional is GGA-PBEsol.

Results
- E_form: -0.11 eV per atom
- Density: 19.52 g/cm3
- Offset from the most stable computed form: 0.0 meV/atom

Structure (POSCAR):
```
MoIrOs2
1.0
-2.7614 1.6638 2.0939
-2.6345 -1.1657 -2.5481
-0.4679 -3.2654 1.9776
Os Mo Ir
2 1 1
Direct
0.0000 0.0000 0.5000 Os
0.0000 0.5000 0.0000 Os
0.5000 0.0000 0.0000 Mo
0.5000 0.5000 0.5000 Ir
```

[4]
This record from Alexandria describes crystalline NaLa2Tl2 at its relaxed geometry. The functional is GGA-PBEsol.

Results
- E_form: -0.28 eV per atom
- Density: 7.53 g/cm3

Structure (POSCAR):
```
NaLa2Tl2
1.0
3.6668 0.0000 0.0000
0.0000 9.2367 0.0000
0.0000 0.0000 9.2367
Na La Tl
2 4 4
Direct
0.0000 0.5000 0.5000 Na
0.0000 0.0000 0.0000 Na
0.5000 0.8272 0.3272 La
0.5000 0.1728 0.6728 La
0.5000 0.6728 0.8272 La
0.5000 0.3272 0.1728 La
0.0000 0.6237 0.1237 Tl
0.0000 0.3763 0.8763 Tl
0.0000 0.1237 0.3763 Tl
0.0000 0.8763 0.6237 Tl
```

[5]
This record from Alexandria describes crystalline LaCuTc2 at its relaxed geometry. The functional is GGA-PBEsol.

Results
- E_form: 0.52 eV per atom
- Density: 10.04 g/cm3

Structure (POSCAR):
```
LaCuTc2
1.0
2.9434 -0.0011 0.0000
-0.4459 4.8356 0.0000
-1.2487 -2.4172 4.6284
Tc Cu La
2 1 1
Direct
0.5000 0.5000 0.5000 Tc
0.0000 0.0000 0.5000 Tc
0.0000 0.5000 0.0000 Cu
0.5000 0.0000 0.0000 La
```

[6]
This record from Alexandria describes crystalline Mg3CuO4 at its relaxed geometry. The functional is GGA-PBEsol.

Results
- Raw formation energy: -2.1941 eV per atom
- Density: 4.49 g/cm3

Structure (POSCAR):
```
Mg3CuO4
1.0
-2.8081 0.3179 3.1075
0.6853 -4.0141 1.0300
3.0477 1.1956 2.6317
Mg O Cu
3 4 1
Direct
0.5000 0.0000 0.5000 Mg
0.5000 0.5000 0.0000 Mg
0.0000 0.5000 0.5000 Mg
0.5000 0.0000 0.0000 O
0.0000 0.0000 0.5000 O
0.5000 0.5000 0.5000 O
0.0000 0.5000 0.0000 O
0.0000 0.0000 0.0000 Cu
```

[7]
This record from Alexandria describes crystalline CaZrAs2 at its relaxed geometry. The functional is GGA-PBEsol.

Results
- E_form: -0.76 eV per atom
- Density: 5.66 g/cm3
- Offset from the most stable computed form: 447.3 meV/atom

Structure (POSCAR):
```
CaZrAs2
1.0
-0.8371 3.3507 1.1526
-2.1650 0.6891 -3.5756
-4.4325 -1.9043 2.3167
Zr As Ca
1 2 1
Direct
0.5000 0.0000 0.5000 Zr
0.0000 0.5000 0.5000 As
0.0000 0.0000 0.0000 As
0.5000 0.5000 0.0000 Ca
```

[8]
This record from Alexandria describes crystalline GdHoAl6 at its relaxed geometry. The functional is GGA-PBEsol.

Results
- E_form: -0.44 eV per atom
- Density: 5.34 g/cm3

Structure (POSCAR):
```
GdHoAl6
1.0
-3.3476 -4.5950 -2.0592
3.9166 -0.8997 4.5180
-6.7892 2.1194 6.3076
Ho Al Gd
2 12 2
Direct
0.0000 0.0000 0.0000 Ho
0.0000 0.0000 0.5000 Ho
0.8189 0.1811 0.7500 Al
0.1811 0.3622 0.2500 Al
0.8189 0.6378 0.7500 Al
0.0000 0.5000 0.5000 Al
0.3622 0.1811 0.7500 Al
0.5000 0.5000 0.5000 Al
0.6378 0.8189 0.2500 Al
0.5000 0.5000 0.0000 Al
0.5000 0.0000 0.5000 Al
0.0000 0.5000 0.0000 Al
0.1811 0.8189 0.2500 Al
0.5000 0.0000 0.0000 Al
0.3333 0.6667 0.7500 Gd
0.6667 0.3333 0.2500 Gd
```

[9]
This record from Alexandria describes crystalline TiInGaPt2 at its relaxed geometry. The functional is GGA-PBEsol.

Results
- E_form: 0.52 eV per atom
- Density: 10.20 g/cm3

Structure (POSCAR):
```
TiInGaPt2
1.0
4.5888 0.0000 0.0000
0.0000 4.5888 0.0000
0.0000 0.0000 4.8112
Ti Ga Pt In
1 1 2 1
Direct
0.5000 0.5000 0.5000 Ti
0.0000 0.0000 0.0000 Ga
0.0000 0.5000 0.0000 Pt
0.5000 0.0000 0.0000 Pt
0.0000 0.0000 0.5000 In
```

[10]
This record from Alexandria describes crystalline HgAsPtCl2 at its relaxed geometry. The functional is GGA-PBEsol.

Results
- Raw formation energy: 1.0244 eV per atom
- Density: 7.10 g/cm3

Structure (POSCAR):
```
HgAsPtCl2
1.0
-1.6319 4.5204 0.1377
-1.7486 -0.4956 -4.4512
-4.7504 -1.7778 2.0641
Cl Pt Hg As
2 1 1 1
Direct
0.0000 0.5000 0.0000 Cl
0.5000 0.0000 0.0000 Cl
0.5000 0.5000 0.5000 Pt
0.0000 0.0000 0.0000 Hg
0.0000 0.0000 0.5000 As
```

[11]
This record from Alexandria describes crystalline Be2CdBr at its relaxed geometry. The functional is GGA-PBEsol.

Results
- Raw formation energy: 0.6788 eV per atom
- Density: 5.06 g/cm3
- Offset from the most stable computed form: 408.1 meV/atom

Structure (POSCAR):
```
Be2CdBr
1.0
-1.4645 1.2670 2.8020
-4.1792 0.3442 -2.7430
1.7657 -4.5469 1.1101
Be Br Cd
2 1 1
Direct
0.0000 0.0000 0.5000 Be
0.5000 0.5000 0.5000 Be
0.5000 0.0000 0.0000 Br
0.0000 0.5000 0.0000 Cd
```

[12]
This record from Alexandria describes crystalline BaFe2S4 at its relaxed geometry. The functional is GGA-PBEsol.

Results
- Raw formation energy: -0.8764 eV per atom
- Density: 4.12 g/cm3
- Offset from the most stable computed form: 62.3 meV/atom

Structure (POSCAR):
```
BaFe2S4
1.0
5.1057 0.0000 0.0000
2.5528 5.4595 0.0000
2.5528 0.0000 5.4595
Ba Fe S
1 2 4
Direct
0.0000 0.0000 0.0000 Ba
0.5000 0.5000 0.5000 Fe
0.0000 0.5000 0.5000 Fe
0.4044 0.1911 0.5000 S
0.0956 0.8089 0.5000 S
0.5956 0.5000 0.8089 S
0.9044 0.5000 0.1911 S
```